<one>
Ni2RuAu: optimized geometry, PBEsol.

Cell and atoms, written as CIF:
```
data_Ni2RuAu
_chemical_formula_sum 'Ni2 Ru1 Au1'
_symmetry_space_group_name_H-M 'P 1'
_symmetry_Int_Tables_number 1
_cell_length_a 4.179
_cell_length_b 4.179
_cell_length_c 4.179
_cell_angle_alpha 60.00
_cell_angle_beta 60.00
_cell_angle_gamma 60.00
loop_
_symmetry_equiv_pos_as_xyz
'x,y,z'
loop_
_atom_site_label
_atom_site_type_symbol
_atom_site_fract_x
_atom_site_fract_y
_atom_site_fract_z
Ru1 Ru 0.500 0.500 0.500
Ni1 Ni 0.750 0.750 0.750
Ni2 Ni 0.250 0.250 0.250
Au1 Au 0.000 0.000 0.000
```

Total magnetic moment, μB per formula unit: 2.75
Symmetry: Fm-3m, No. 225

***

<two>
Ni2RuAu: optimized geometry, PBEsol.

Cell and atoms, written as CIF:
```
data_Ni2RuAu
_chemical_formula_sum 'Ni2 Ru1 Au1'
_symmetry_space_group_name_H-M 'P 1'
_symmetry_Int_Tables_number 1
_cell_length_a 3.656
_cell_length_b 3.656
_cell_length_c 4.635
_cell_angle_alpha 113.23
_cell_angle_beta 113.23
_cell_angle_gamma 90.00
loop_
_symmetry_equiv_pos_as_xyz
'x,y,z'
loop_
_atom_site_label
_atom_site_type_symbol
_atom_site_fract_x
_atom_site_fract_y
_atom_site_fract_z
Ru1 Ru 0.500 0.500 0.000
Ni1 Ni 0.000 0.000 0.000
Au1 Au 0.250 0.750 0.500
Ni2 Ni 0.750 0.250 0.500
```

Total magnetic moment, μB per formula unit: 2.06
Symmetry: I-4m2, No. 119

***

Among the structures above, stability is greatest for <two>.